(1)
DFT (GGA-PBE) results for a relaxed structure of Zn2CdW.

Geometry as CIF:
```
data_Zn2CdW
_chemical_formula_sum 'Zn4 Cd2 W2'
_space_group_name_H-M_alt 'I m m m'
_space_group_IT_number 71
_space_group_name_Hall '-I 2 2'
_cell_length_a 2.813
_cell_length_b 5.068
_cell_length_c 9.567
_cell_angle_alpha 90.00
_cell_angle_beta 90.00
_cell_angle_gamma 90.00
loop_
_atom_site_label
_atom_site_type_symbol
_atom_site_fract_x
_atom_site_fract_y
_atom_site_fract_z
Zn1 Zn 0.000 0.000 0.241
Cd1 Cd 0.000 0.500 0.000
W1 W 0.000 0.500 0.500
```

---

(2)
DFT (GGA-PBE) results for a relaxed structure of ZnCd2W.

Geometry as CIF:
```
data_ZnCd2W
_chemical_formula_sum 'Zn1 Cd2 W1'
_space_group_name_H-M_alt 'P 1 m 1'
_space_group_IT_number 6
_cell_length_a 2.844
_cell_length_b 4.401
_cell_length_c 5.920
_cell_angle_alpha 90.00
_cell_angle_beta 103.58
_cell_angle_gamma 90.00
loop_
_space_group_symop_operation_xyz
'x,y,z'
'x,-y,z'
loop_
_atom_site_label
_atom_site_type_symbol
_atom_site_fract_x
_atom_site_fract_y
_atom_site_fract_z
Zn1 Zn 0.000 0.000 0.000
Cd1 Cd 0.152 0.500 0.295
Cd2 Cd 0.780 0.000 0.546
W1 W 0.419 0.500 0.829
```

---

(3)
DFT (GGA-PBE) results for a relaxed structure of Zn2CdW.

Geometry as CIF:
```
data_Zn2CdW
_chemical_formula_sum 'Zn8 Cd4 W4'
_space_group_name_H-M_alt 'I -4 2 d'
_space_group_IT_number 122
_space_group_name_Hall 'I -4 2bw'
_cell_length_a 7.082
_cell_length_b 7.082
_cell_length_c 5.642
_cell_angle_alpha 90.00
_cell_angle_beta 90.00
_cell_angle_gamma 90.00
loop_
_atom_site_label
_atom_site_type_symbol
_atom_site_fract_x
_atom_site_fract_y
_atom_site_fract_z
Zn1 Zn 0.249 0.250 0.125
Cd1 Cd 0.000 0.000 0.500
W1 W 0.000 0.000 0.000
```

---

(4)
DFT (GGA-PBE) results for a relaxed structure of ZnCd2W.

Geometry as CIF:
```
data_ZnCd2W
_chemical_formula_sum 'Zn2 Cd4 W2'
_space_group_name_H-M_alt 'I m m m'
_space_group_IT_number 71
_space_group_name_Hall '-I 2 2'
_cell_length_a 2.938
_cell_length_b 4.849
_cell_length_c 9.953
_cell_angle_alpha 90.00
_cell_angle_beta 90.00
_cell_angle_gamma 90.00
loop_
_atom_site_label
_atom_site_type_symbol
_atom_site_fract_x
_atom_site_fract_y
_atom_site_fract_z
Zn1 Zn 0.000 0.000 0.000
Cd1 Cd 0.000 0.500 0.261
W1 W 0.000 0.000 0.500
```

---

(5)
DFT (GGA-PBE) results for a relaxed structure of ZnCdW2.

Geometry as CIF:
```
data_ZnCdW2
_chemical_formula_sum 'Zn1 Cd1 W2'
_space_group_name_H-M_alt 'P m m m'
_space_group_IT_number 47
_cell_length_a 2.723
_cell_length_b 4.463
_cell_length_c 5.465
_cell_angle_alpha 90.00
_cell_angle_beta 90.00
_cell_angle_gamma 90.00
loop_
_space_group_symop_operation_xyz
'x,y,z'
'-x,-y,-z'
'-x,-y,z'
'x,y,-z'
'x,-y,-z'
'-x,y,z'
'-x,y,-z'
'x,-y,z'
loop_
_atom_site_label
_atom_site_type_symbol
_atom_site_fract_x
_atom_site_fract_y
_atom_site_fract_z
Zn1 Zn 0.000 0.000 0.000
Cd1 Cd 0.000 0.000 0.500
W1 W 0.500 0.500 0.236
```

---

(6)
DFT (GGA-PBE) results for a relaxed structure of ZnCd2W.

Geometry as CIF:
```
data_ZnCd2W
_chemical_formula_sum 'Zn2 Cd4 W2'
_space_group_name_H-M_alt 'I -4 m 2'
_space_group_IT_number 119
_space_group_name_Hall 'I -4 -2'
_cell_length_a 4.071
_cell_length_b 4.071
_cell_length_c 8.720
_cell_angle_alpha 90.00
_cell_angle_beta 90.00
_cell_angle_gamma 90.00
loop_
_atom_site_label
_atom_site_type_symbol
_atom_site_fract_x
_atom_site_fract_y
_atom_site_fract_z
Zn1 Zn 0.000 0.000 0.000
Cd1 Cd 0.000 0.000 0.500
Cd2 Cd 0.000 0.500 0.750
W1 W 0.000 0.500 0.250
```

---

Quick rundown of magnetic moment, same order as above: 0.00, 0.00, 0.00, 0.00, 0.00, 0.00 Bohr magnetons per cell
Quick rundown of energy relative to the elements, same order as above: 0.4619, 0.4473, 0.7811, 0.5312, 0.5234, 0.6950 eV per atom
Quick rundown of V, same order as above: 17.0, 18.0, 17.7, 17.7, 16.6, 18.1 Å³ per atom